Ta5Co7: relaxed, GGA-PBE.

Calculated values
For the formation energy from the elements, the calculation gives 0.336 eV per atom. The calculation puts the mass density at 12.6 Mg/m³. Its energy is -209.9 eV/cell.

Geometry as CIF:
```
data_Ta5Co7
_chemical_formula_sum 'Ta10 Co14'
_space_group_name_H-M_alt 'P 63/m m c'
_space_group_IT_number 194
_space_group_name_Hall '-P 6c 2c'
_cell_length_a 5.0462
_cell_length_b 5.0462
_cell_length_c 15.7296
_cell_angle_alpha 90.00
_cell_angle_beta 90.00
_cell_angle_gamma 120.00
loop_
_atom_site_label
_atom_site_type_symbol
_atom_site_fract_x
_atom_site_fract_y
_atom_site_fract_z
Ta1 Ta 0.1652 0.3304 0.2500
Ta2 Ta 0.3333 0.6667 0.6385
Co1 Co 0.0000 0.0000 0.0869
Co2 Co 0.0000 0.5000 0.0000
Co3 Co 0.3333 0.6667 0.1157
```